Entry from Alexandria: a geometry-optimized AcPd2O4 structure (GGA-PBE).

a b c (Å): 8.247 7.336 6.040
angles (deg): 75.44 59.42 45.14
Fractional coordinates of all 14 atoms:
1 Ac 0.125 0.125 0.125
2 Ac 0.875 0.875 0.875
3 Pd 0.000 0.500 0.500
4 Pd 0.500 0.000 0.500
5 Pd 0.500 0.500 0.000
6 Pd 0.500 0.500 0.500
7 O 0.161 0.356 0.734
8 O 0.249 0.734 0.356
9 O 0.266 0.751 0.839
10 O 0.356 0.161 0.249
11 O 0.644 0.839 0.751
12 O 0.734 0.249 0.161
13 O 0.751 0.266 0.644
14 O 0.839 0.644 0.266

Calculated values
Space-group type ... No. 70
Formation energy (no corrections) ... -1.4121 eV/atom
Energy ... -6.32 eV/atom


Entry from Alexandria: a geometry-optimized AcPd3O6 structure (GGA-PBE).

a b c (Å): 6.367 6.367 3.566
angles (deg): 90.00 90.00 109.69
Fractional coordinates of all 10 atoms:
1 Ac 0.000 0.000 0.000
2 Pd 0.000 0.500 0.500
3 Pd 0.500 0.000 0.500
4 Pd 0.500 0.500 0.000
5 O 0.167 0.434 0.000
6 O 0.167 0.833 0.500
7 O 0.434 0.167 0.000
8 O 0.566 0.833 0.000
9 O 0.833 0.167 0.500
10 O 0.833 0.566 0.000

Calculated values
Space-group type ... No. 65
Formation energy (no corrections) ... -1.1215 eV/atom
Energy ... -6.07 eV/atom


Entry from Alexandria: a geometry-optimized Ac6PdO12 structure (GGA-PBE).

a b c (Å): 7.049 7.049 7.049
angles (deg): 98.40 98.40 98.40
Fractional coordinates of all 19 atoms:
1 Ac 0.105 0.793 0.641
2 Ac 0.207 0.359 0.895
3 Ac 0.359 0.895 0.207
4 Ac 0.641 0.105 0.793
5 Ac 0.793 0.641 0.105
6 Ac 0.895 0.207 0.359
7 Pd 0.500 0.500 0.500
8 O 0.052 0.906 0.322
9 O 0.094 0.678 0.948
10 O 0.213 0.438 0.537
11 O 0.322 0.052 0.906
12 O 0.438 0.537 0.213
13 O 0.463 0.787 0.562
14 O 0.537 0.213 0.438
15 O 0.562 0.463 0.787
16 O 0.678 0.948 0.094
17 O 0.787 0.562 0.463
18 O 0.906 0.322 0.052
19 O 0.948 0.094 0.678

Calculated values
Space-group type ... No. 148
Formation energy (no corrections) ... -2.6576 eV/atom
Energy ... -7.36 eV/atom